[1]
First-principles (PBE-GGA) data for an optimized crystal structure of LaNd6Y12, as listed in the Alexandria database.

Properties
**Polymorph energy (0 for the lowest one)**: 80.5 meV/atom
**Fermi-level density of states**: 33.24 states/eV/f.u.

a = 11.2039 Å, b = 11.2039 Å, c = 17.6490 Å
α = 90.00°, β = 90.00°, γ = 120.00°
Space group R-3m (No. 166, hexagonal axes)
One atom of each set of equivalent atoms:
La1 0.0000 0.0000 0.0000 x3
Nd1 0.0727 0.5363 0.7638 x18
Y1 0.1050 0.5525 0.4155 x18
Y2 0.1069 0.2138 0.4105 x18


[2]
First-principles (PBE-GGA) data for an optimized crystal structure of La12Nd2Y7, as listed in the Alexandria database.

Properties
**Fermi-level density of states**: 35.54 states/eV/f.u.

a = 15.3877 Å, b = 15.3877 Å, c = 3.6147 Å
α = 90.00°, β = 90.00°, γ = 120.00°
Space group P-6 (No. 174)
One atom of each set of equivalent atoms:
La1 0.0503 0.2507 0.0000 x3
La2 0.1303 0.7110 0.5000 x3
La3 0.4158 0.1515 0.5000 x3
La4 0.4922 0.3961 0.0000 x3
Nd1 0.0000 0.0000 0.5000 x1
Nd2 0.3333 0.6667 0.0000 x1
Y1 0.0964 0.4751 0.5000 x3
Y2 0.2350 0.1899 0.0000 x3
Y3 0.6667 0.3333 0.5000 x1


[3]
First-principles (PBE-GGA) data for an optimized crystal structure of La3Nd6Y, as listed in the Alexandria database.

Properties
**Polymorph energy (0 for the lowest one)**: 72.7 meV/atom
**Fermi-level density of states**: 16.52 states/eV/f.u.

a = 12.244 Å, b = 6.911 Å, c = 8.947 Å
α = 90.00°, β = 106.70°, γ = 90.00°
Space group C2/m (No. 12)
One atom of each set of equivalent atoms:
La1 0.000 0.000 0.000 x2
La2 0.027 0.500 0.820 x4
Nd1 0.199 0.500 0.509 x4
Nd2 0.247 0.275 0.180 x8
Y1 0.000 0.000 0.500 x2


[4]
First-principles (PBE-GGA) data for an optimized crystal structure of La2Nd4Y5, as listed in the Alexandria database.

Properties
**Polymorph energy (0 for the lowest one)**: 20.2 meV/atom
**Fermi-level density of states**: 18.93 states/eV/f.u.

a = 24.515 Å, b = 3.564 Å, c = 8.812 Å
α = 90.00°, β = 94.19°, γ = 90.00°
Space group C2/m (No. 12)
One atom of each set of equivalent atoms:
La1 0.227 0.000 0.325 x4
Nd1 0.041 0.500 0.843 x4
Nd2 0.088 0.000 0.197 x4
Y1 0.000 0.000 0.500 x2
Y2 0.130 0.500 0.548 x4
Y3 0.185 0.500 0.970 x4


[5]
First-principles (PBE-GGA) data for an optimized crystal structure of La3Nd3Y8, as listed in the Alexandria database.

Properties
**Fermi-level density of states**: 23.43 states/eV/f.u.

a = 5.776 Å, b = 10.854 Å, c = 15.521 Å
α = 90.00°, β = 90.00°, γ = 90.00°
Space group Immm (No. 71)
One atom of each set of equivalent atoms:
La1 0.000 0.000 0.000 x2
La2 0.000 0.500 0.313 x4
Nd1 0.000 0.000 0.500 x2
Nd2 0.000 0.303 0.500 x4
Y1 0.000 0.161 0.281 x8
Y2 0.000 0.339 0.102 x8


[6]
First-principles (PBE-GGA) data for an optimized crystal structure of La12NdY7, as listed in the Alexandria database.

Properties
**Polymorph energy (0 for the lowest one)**: 131.6 meV/atom
**Fermi-level density of states**: 27.99 states/eV/f.u.

a = 19.7219 Å, b = 19.7219 Å, c = 6.3838 Å
α = 90.00°, β = 90.00°, γ = 120.00°
Space group R-3 (No. 148, hexagonal axes)
One atom of each set of equivalent atoms:
La1 0.9997 0.4075 0.9995 x18
La2 0.0950 0.5471 0.4755 x18
Nd1 0.0000 0.0000 0.5000 x3
Y1 0.0000 0.0000 0.0000 x3
Y2 0.0825 0.1659 0.2980 x18


[7]
First-principles (PBE-GGA) data for an optimized crystal structure of La8Nd2Y3, as listed in the Alexandria database.

Properties
**Polymorph energy (0 for the lowest one)**: 26.7 meV/atom
**Fermi-level density of states**: 17.62 states/eV/f.u.

a = 20.919 Å, b = 7.759 Å, c = 5.851 Å
α = 90.00°, β = 90.02°, γ = 90.00°
Space group C2/m (No. 12)
One atom of each set of equivalent atoms:
La1 0.104 0.200 0.000 x8
La2 0.132 0.500 0.499 x4
La3 0.173 0.000 0.501 x4
Nd1 0.241 0.500 0.999 x4
Y1 0.000 0.219 0.500 x4
Y2 0.000 0.500 0.000 x2


[8]
First-principles (PBE-GGA) data for an optimized crystal structure of LaNdY4, as listed in the Alexandria database.

Properties
**Polymorph energy (0 for the lowest one)**: 3.0 meV/atom
**Fermi-level density of states**: 9.39 states/eV/f.u.

a = 6.280 Å, b = 3.623 Å, c = 18.771 Å
α = 90.00°, β = 109.51°, γ = 90.00°
Space group P2_1/c (No. 14)
One atom of each set of equivalent atoms:
La1 0.000 0.000 0.000 x2
Nd1 0.500 0.000 0.500 x2
Y1 0.164 0.002 0.832 x4
Y2 0.336 0.002 0.669 x4


[9]
First-principles (PBE-GGA) data for an optimized crystal structure of La5NdY4, as listed in the Alexandria database.

Properties
**Fermi-level density of states**: 16.71 states/eV/f.u.

a = 3.712 Å, b = 3.712 Å, c = 25.408 Å
α = 90.00°, β = 90.00°, γ = 90.00°
Space group P4/mmm (No. 123)
One atom of each set of equivalent atoms:
La1 0.000 0.000 0.000 x1
La2 0.000 0.000 0.198 x2
La3 0.000 0.000 0.398 x2
Nd1 0.500 0.500 0.500 x1
Y1 0.500 0.500 0.099 x2
Y2 0.500 0.500 0.298 x2


| no. | calculated volume (A^3/atom) | formation enthalpy at 0 K (eV/atom) |
| --- | --- | --- |
| 1 | 33.66 | 0.0991 |
| 2 | 35.30 | 0.0379 |
| 3 | 36.26 | 0.2398 |
| 4 | 34.90 | 0.1122 |
| 5 | 34.75 | 0.1028 |
| 6 | 35.84 | 0.2158 |
| 7 | 36.53 | 0.1707 |
| 8 | 33.54 | 0.0163 |
| 9 | 35.01 | 0.0207 |